(1)
# Ba3Ca2Ag4 | Alexandria via LeMat-Bulk | GGA-PBE | optimized geometry
# **E**: -2.5760 eV/atom
# **Density of states at the Fermi level**: 0.701 states/eV/atom
# **ΔH_f (0 K)**: -0.223 eV/atom
# **V**: 645.5 Å³/cell
data_Ba3Ca2Ag4
_space_group_name_H-M_alt 'C 1 2/m 1'
_space_group_IT_number 12
_cell_length_a 12.4685
_cell_length_b 4.7729
_cell_length_c 10.9133
_cell_angle_alpha 90.00
_cell_angle_beta 96.33
_cell_angle_gamma 90.00
loop_
_space_group_symop_operation_xyz
'x,y,z'
'-x,-y,-z'
'-x,y,-z'
'x,-y,z'
'x+1/2,y+1/2,z'
'-x+1/2,-y+1/2,-z'
'-x+1/2,y+1/2,-z'
'x+1/2,-y+1/2,z'
loop_
_atom_site_label
_atom_site_type_symbol
_atom_site_fract_x
_atom_site_fract_y
_atom_site_fract_z
_atom_site_occupancy
Ba1 Ba 0.0000 0.0000 0.0000 1
Ba2 Ba 0.1262 0.5000 0.3826 1
Ca1 Ca 0.1757 0.5000 0.7835 1
Ag1 Ag 0.0804 0.0000 0.6130 1
Ag2 Ag 0.2146 0.5000 0.0679 1

***

(2)
# Ba3Ca3Ag4 | Alexandria via LeMat-Bulk | GGA-PBE | optimized geometry
# **E**: -2.5586 eV/atom
# **Density of states at the Fermi level**: 0.731 states/eV/atom
# **ΔH_f (0 K)**: -0.241 eV/atom
# **V**: 702.9 Å³/cell
data_Ba3Ca3Ag4
_space_group_name_H-M_alt 'A m m 2'
_space_group_IT_number 38
_cell_length_a 4.7042
_cell_length_b 12.2216
_cell_length_c 12.2266
_cell_angle_alpha 90.00
_cell_angle_beta 90.00
_cell_angle_gamma 90.00
loop_
_space_group_symop_operation_xyz
'x,y,z'
'-x,-y,z'
'-x,y,z'
'x,-y,z'
'x,y+1/2,z+1/2'
'-x,-y+1/2,z+1/2'
'-x,y+1/2,z+1/2'
'x,-y+1/2,z+1/2'
loop_
_atom_site_label
_atom_site_type_symbol
_atom_site_fract_x
_atom_site_fract_y
_atom_site_fract_z
_atom_site_occupancy
Ba1 Ba 0.0000 0.0000 0.0000 1
Ba2 Ba 0.0000 0.1700 0.6615 1
Ca1 Ca 0.0000 0.0000 0.3349 1
Ca2 Ca 0.5000 0.2433 0.4101 1
Ag1 Ag 0.5000 0.0000 0.5226 1
Ag2 Ag 0.5000 0.0000 0.7883 1
Ag3 Ag 0.5000 0.1192 0.1775 1

***

(3)
# BaCa2Ag | Alexandria via LeMat-Bulk | GGA-PBE | optimized geometry
# **E**: -2.1092 eV/atom
# **Density of states at the Fermi level**: 0.848 states/eV/atom
# **ΔH_f (0 K)**: 0.085 eV/atom
# **V**: 306.7 Å³/cell
data_BaCa2Ag
_space_group_name_H-M_alt 'C 1 2/m 1'
_space_group_IT_number 12
_cell_length_a 7.1973
_cell_length_b 12.5682
_cell_length_c 3.8390
_cell_angle_alpha 90.00
_cell_angle_beta 117.98
_cell_angle_gamma 90.00
loop_
_space_group_symop_operation_xyz
'x,y,z'
'-x,-y,-z'
'-x,y,-z'
'x,-y,z'
'x+1/2,y+1/2,z'
'-x+1/2,-y+1/2,-z'
'-x+1/2,y+1/2,-z'
'x+1/2,-y+1/2,z'
loop_
_atom_site_label
_atom_site_type_symbol
_atom_site_fract_x
_atom_site_fract_y
_atom_site_fract_z
_atom_site_occupancy
Ba1 Ba 0.0000 0.0000 0.0000 1
Ca1 Ca 0.2500 0.2500 0.5000 1
Ag1 Ag 0.0000 0.5000 0.0000 1

***

The evaluated spin magnetization for the records listed, in turn: 0.00 0.00 0.00 μB/f.u..